The following is a SCAN calculation of a PBEsol-optimized structure of RbZr2Br, from Alexandria.

Cell lengths 5.155, 5.155, 5.155 Å; angles 60.00, 60.00, 60.00 degrees
Atoms (fractional coordinates):
Zr 0.750 0.750 0.750
Zr 0.250 0.250 0.250
Br 0.000 0.000 0.000
Rb 0.500 0.500 0.500

formation energy without anion corrections	1.208	eV per atom
calculated volume	96.9	Å³/cell
electronic total energy	-24.191	eV per atom
crystal system	cubic